## PmPrCdRu (PBE)

Data for crystalline PmPrCdRu at its relaxed geometry.

a = 5.2001 Å, b = 5.2001 Å, c = 5.2001 Å
α = 60.00°, β = 60.00°, γ = 60.00°
With the nearest neighbours (Å) after each atom.
Sites, in units of the cell vectors:
1 Pm 0.0000 0.0000 0.0000  4 Ru 3.18, 4 Cd 3.18
2 Pr 0.5000 0.5000 0.5000  4 Ru 3.18, 4 Cd 3.18
3 Cd 0.2500 0.2500 0.2500  4 Pr 3.18, 4 Pm 3.18
4 Ru 0.7500 0.7500 0.7500  4 Pr 3.18, 4 Pm 3.18

theoretical density	8.340	g/cm³
space group	F-43m, No. 216
spin magnetization	0.0	Bohr magnetons per cell
energy of formation	-0.16	eV per atom
energy above the lowest structure with this stoichiometry	1.881	kcal/mol of atoms
uncorrected energy	-5.091	eV/atom